Below is a geometry-optimized KMoO3 structure, with properties calculated at the PBE+U level.

abc: 5.5979 6.2753 13.1022
angles: 89.67 90.00 90.00
Each line ends with the local moment (μB).
Sites, in units of the cell vectors:
K (0.7500, 0.4980, 0.1101)  0.00
K (0.2500, 0.5020, 0.8899)  0.00
K (0.2500, 0.0020, 0.3899)  0.00
K (0.7500, 0.9980, 0.6101)  0.00
Mo (0.7500, 0.4996, 0.4462)  1.04
Mo (0.2500, 0.5004, 0.5538)  1.04
Mo (0.2500, 0.0004, 0.0538)  1.04
Mo (0.7500, 0.9996, 0.9462)  1.04
O (0.0001, 0.2993, 0.5008)  0.00
O (0.9999, 0.7007, 0.4992)  0.00
O (0.5001, 0.2007, 0.9992)  0.00
O (0.4999, 0.7993, 0.0008)  0.00
O (0.4999, 0.2992, 0.5008)  0.00
O (0.5001, 0.7008, 0.4992)  0.00
O (0.9999, 0.2008, 0.9992)  0.00
O (0.0001, 0.7992, 0.0008)  0.00
O (0.7500, 0.4984, 0.3125)  -0.05
O (0.2500, 0.5016, 0.6875)  -0.05
O (0.2500, 0.0016, 0.1875)  -0.05
O (0.7500, 0.9984, 0.8125)  -0.05

Summary:
Calculated total energy = -6.44 eV/atom
Fermi-level density of states = 0.000 states/eV/cell